[1]
## Tl2PbBr (PBE)

Data for a relaxed structure of Tl2PbBr.

Its volume is 31.78 A^3/atom. The energy above the lowest structure with this stoichiometry comes out at 58 meV/atom. The value obtained for the formation energy without anion corrections is -217 meV/atom. The value obtained for the mass density is 9.1 g cm⁻³. As for the density of states at the Fermi level: 4.1 states/eV per cell.

It has space group Imm2 (No. 44), with a = 3.724 Å, b = 5.695 Å, c = 11.990 Å, α = 90.00°, β = 90.00° and γ = 90.00°. The distinct sites, in fractional coordinates, are Tl at (0.000, 0.000, 0.000), Tl at (0.000, 0.500, 0.234), Pb at (0.000, 0.500, 0.761) and Br at (0.000, 0.000, 0.493).


[2]
## K3CeNb2O9 (PBE)

Data for a relaxed structure of K3CeNb2O9.

Its volume is 14.87 A^3/atom. The value obtained for the formation energy without anion corrections is -2421 meV/atom. The value obtained for the mass density is 4.4 g cm⁻³. As for the density of states at the Fermi level: 7.6 states/eV per cell.

It has space group P-3m1 (No. 164), with a = 5.9328 Å, b = 5.9328 Å, c = 7.3187 Å, α = 90.00°, β = 90.00° and γ = 120.00°. The distinct sites, in fractional coordinates, are K at (0.0000, 0.0000, 0.0000), K at (0.3333, 0.6667, 0.6730), Ce at (0.0000, 0.0000, 0.5000), Nb at (0.3333, 0.6667, 0.1628), O at (0.0000, 0.5000, 0.0000) and O at (0.1754, 0.3508, 0.3164).


Look up the mass density of the second one. 4.4 g cm⁻³


The highest mass density belongs to which entry? Tl2PbBr


Which formula does entry 1 have? Tl2PbBr


What is the mass density in the first record? 9.1 g cm⁻³